*1*
The following is a GGA-PBE calculation of a relaxed KAgSb2 crystal, from Alexandria.

Unit cell a=3.6359 b=3.6359 c=29.8449 alpha=90.00 beta=90.00 gamma=120.00
Space group R-3m (No. 166, hexagonal axes)
One atom of each set of equivalent atoms:
K  0.0000  0.0000  0.0000 [3 per cell]
Ag  0.0000  0.0000  0.5000 [3 per cell]
Sb  0.0000  0.0000  0.2352 [6 per cell]

Computed properties:
**Magnetization**: 0.0000 μB/atom


*2*
The following is a GGA-PBE calculation of a relaxed KAgSb2 crystal, from Alexandria.

Unit cell a=10.8549 b=3.2609 c=6.7038 alpha=90.00 beta=94.71 gamma=90.00
Space group Cm (No. 8)
One atom of each set of equivalent atoms:
K  0.0000  0.0000  0.0000 [2 per cell]
Ag  0.2464  0.0000  0.6692 [2 per cell]
Sb  0.0124  0.5000  0.5155 [2 per cell]
Sb  0.2514  0.5000  0.3018 [2 per cell]

Computed properties:
**Magnetization**: 0.0000 μB/atom


*3*
The following is a GGA-PBE calculation of a relaxed KAgSb2 crystal, from Alexandria.

Unit cell a=9.3207 b=4.2496 c=6.7146 alpha=90.00 beta=100.87 gamma=90.00
Space group C2/m (No. 12)
One atom of each set of equivalent atoms:
K  0.0000  0.0000  0.0000 [2 per cell]
Ag  0.0000  0.5000  0.5000 [2 per cell]
Sb  0.2447  0.0000  0.6546 [4 per cell]

Computed properties:
**Magnetization**: 0.0000 μB/atom


*4*
The following is a GGA-PBE calculation of a relaxed KAgSb2 crystal, from Alexandria.

Unit cell a=4.6864 b=4.6864 c=10.1661 alpha=90.00 beta=90.00 gamma=90.00
Space group I4/mmm (No. 139)
One atom of each set of equivalent atoms:
K  0.0000  0.0000  0.0000 [2 per cell]
Ag  0.0000  0.0000  0.5000 [2 per cell]
Sb  0.0000  0.5000  0.2500 [4 per cell]

Computed properties:
**Magnetization**: 0.0000 μB/atom


From most stable to least stable, the computed energies give *3*, *2*, *1*, *4*.


*1*
The following is a GGA-PBE calculation of a relaxed KAgSb2 crystal, from Alexandria.

Unit cell a=4.9841 b=11.6661 c=7.8866 alpha=90.00 beta=90.00 gamma=90.00
Space group Cmcm (No. 63)
One atom of each set of equivalent atoms:
K  0.0000  0.0830  0.2500 [4 per cell]
Ag  0.0000  0.2043  0.7500 [4 per cell]
Sb  0.0000  0.3789  0.0498 [8 per cell]

Computed properties:
**Magnetization**: 0.0000 μB/atom


*2*
The following is a GGA-PBE calculation of a relaxed KAgSb2 crystal, from Alexandria.

Unit cell a=7.6607 b=7.6607 c=7.6607 alpha=90.00 beta=90.00 gamma=90.00
Space group F-43m (No. 216)
One atom of each set of equivalent atoms:
K  0.0000  0.0000  0.0000 [4 per cell]
Ag  0.2500  0.2500  0.7500 [4 per cell]
Sb  0.0000  0.0000  0.5000 [4 per cell]
Sb  0.2500  0.2500  0.2500 [4 per cell]

Computed properties:
**Magnetization**: 0.0000 μB/atom


From most stable to least stable, the computed energies give *1*, *2*.


*1*
The following is a GGA-PBE calculation of a relaxed KAgSb crystal, from Alexandria.

Unit cell a=4.8682 b=4.8682 c=4.5118 alpha=90.00 beta=90.00 gamma=120.00
Space group P-6m2 (No. 187)
One atom of each set of equivalent atoms:
K  0.0000  0.0000  0.0000 [1 per cell]
Ag  0.3333  0.6667  0.5000 [1 per cell]
Sb  0.6667  0.3333  0.5000 [1 per cell]

Computed properties:
**Magnetization**: 0.0000 μB/atom


*2*
The following is a GGA-PBE calculation of a relaxed KAgSb crystal, from Alexandria.

Unit cell a=3.6208 b=4.3637 c=12.0798 alpha=90.00 beta=90.00 gamma=90.00
Space group Imm2 (No. 44)
One atom of each set of equivalent atoms:
K  0.0000  0.0000  0.0000 [2 per cell]
Ag  0.0000  0.0000  0.2697 [2 per cell]
Sb  0.0000  0.0000  0.7146 [2 per cell]

Computed properties:
**Magnetization**: 0.0000 μB/atom


From most stable to least stable, the computed energies give *1*, *2*.


*1*
The following is a GGA-PBE calculation of a relaxed KAgSb crystal, from Alexandria.

Unit cell a=5.0132 b=8.2003 c=8.5084 alpha=90.00 beta=90.00 gamma=90.00
Space group Imm2 (No. 44)
One atom of each set of equivalent atoms:
K  0.0000  0.0000  0.0000 [2 per cell]
K  0.0000  0.5000  0.1011 [2 per cell]
Ag  0.0000  0.2082  0.3878 [4 per cell]
Sb  0.0000  0.3175  0.7192 [4 per cell]

Computed properties:
**Magnetization**: 0.0000 μB/atom


*2*
The following is a GGA-PBE calculation of a relaxed KAgSb crystal, from Alexandria.

Unit cell a=7.5750 b=7.5750 c=7.5750 alpha=90.00 beta=90.00 gamma=90.00
Space group F-43m (No. 216)
One atom of each set of equivalent atoms:
K  0.0000  0.0000  0.0000 [4 per cell]
Ag  0.2500  0.2500  0.2500 [4 per cell]
Sb  0.2500  0.2500  0.7500 [4 per cell]

Computed properties:
**Magnetization**: 0.3559 μB/atom


From most stable to least stable, the computed energies give *1*, *2*.


*1*
The following is a GGA-PBE calculation of a relaxed K3AgSb crystal, from Alexandria.

Unit cell a=12.9201 b=8.1468 c=7.7545 alpha=90.00 beta=90.00 gamma=90.00
Space group Ima2 (No. 46)
One atom of each set of equivalent atoms:
K  0.0033  0.2489  0.0000 [8 per cell]
K  0.2500  0.0764  0.2542 [4 per cell]
Ag  0.2500  0.7504  0.0040 [4 per cell]
Sb  0.2500  0.5131  0.2534 [4 per cell]

Computed properties:
**Magnetization**: 0.1659 μB/atom


*2*
The following is a GGA-PBE calculation of a relaxed K3AgSb crystal, from Alexandria.

Unit cell a=6.6772 b=6.6772 c=6.6772 alpha=90.00 beta=90.00 gamma=90.00
Space group Pm-3m (No. 221)
One atom of each set of equivalent atoms:
K  0.0000  0.0000  0.5000 [3 per cell]
Ag  0.5000  0.5000  0.5000 [1 per cell]
Sb  0.0000  0.0000  0.0000 [1 per cell]

Computed properties:
**Magnetization**: 0.2000 μB/atom


From most stable to least stable, the computed energies give *1*, *2*.


*1*
The following is a GGA-PBE calculation of a relaxed K2AgSb2 crystal, from Alexandria.

Unit cell a=7.4762 b=7.4762 c=5.7595 alpha=90.00 beta=90.00 gamma=90.00
Space group P4/mbm (No. 127)
One atom of each set of equivalent atoms:
K  0.1672  0.3328  0.0000 [4 per cell]
Ag  0.0000  0.0000  0.5000 [2 per cell]
Sb  0.1402  0.6402  0.5000 [4 per cell]

Computed properties:
**Magnetization**: 0.0000 μB/atom


*2*
The following is a GGA-PBE calculation of a relaxed K2AgSb2 crystal, from Alexandria.

Unit cell a=5.0399 b=4.8007 c=14.1711 alpha=90.00 beta=90.00 gamma=90.00
Space group Amm2 (No. 38)
One atom of each set of equivalent atoms:
K  0.0000  0.0000  0.0000 [2 per cell]
K  0.0000  0.0000  0.2398 [2 per cell]
Ag  0.5000  0.0000  0.8225 [2 per cell]
Sb  0.5000  0.0000  0.4209 [2 per cell]
Sb  0.5000  0.0000  0.6217 [2 per cell]

Computed properties:
**Magnetization**: 0.0000 μB/atom


From most stable to least stable, the computed energies give *1*, *2*.


*1*
The following is a GGA-PBE calculation of a relaxed K2AgSb2 crystal, from Alexandria.

Unit cell a=4.8539 b=4.8539 c=15.0334 alpha=90.00 beta=90.00 gamma=90.00
Space group I4/mmm (No. 139)
One atom of each set of equivalent atoms:
K  0.0000  0.5000  0.2500 [4 per cell]
Ag  0.0000  0.0000  0.0000 [2 per cell]
Sb  0.0000  0.0000  0.4107 [4 per cell]

Computed properties:
**Magnetization**: 0.0000 μB/atom


*2*
The following is a GGA-PBE calculation of a relaxed K2AgSb2 crystal, from Alexandria.

Unit cell a=12.2241 b=5.1033 c=12.0852 alpha=90.00 beta=119.84 gamma=90.00
Space group C2/m (No. 12)
One atom of each set of equivalent atoms:
K  0.0867  0.0000  0.3895 [4 per cell]
K  0.1788  0.5000  0.1822 [4 per cell]
Ag  0.1339  0.5000  0.8580 [4 per cell]
Sb  0.0887  0.0000  0.9517 [4 per cell]
Sb  0.1191  0.5000  0.6132 [4 per cell]

Computed properties:
**Magnetization**: 0.0000 μB/atom


From most stable to least stable, the computed energies give *2*, *1*.


*1*
The following is a GGA-PBE calculation of a relaxed KAgSb3 crystal, from Alexandria.

Unit cell a=5.5205 b=5.5205 c=5.5205 alpha=90.00 beta=90.00 gamma=90.00
Space group Pm-3m (No. 221)
One atom of each set of equivalent atoms:
K  0.0000  0.0000  0.0000 [1 per cell]
Ag  0.5000  0.5000  0.5000 [1 per cell]
Sb  0.0000  0.5000  0.5000 [3 per cell]

Computed properties:
**Magnetization**: 0.0000 μB/atom


*2*
The following is a GGA-PBE calculation of a relaxed KAgSb3 crystal, from Alexandria.

Unit cell a=5.8582 b=5.8582 c=5.8582 alpha=90.00 beta=90.00 gamma=90.00
Space group Pm-3m (No. 221)
One atom of each set of equivalent atoms:
K  0.0000  0.0000  0.0000 [1 per cell]
Ag  0.5000  0.5000  0.5000 [1 per cell]
Sb  0.0000  0.0000  0.5000 [3 per cell]

Computed properties:
**Magnetization**: 0.1592 μB/atom


*3*
The following is a GGA-PBE calculation of a relaxed KAgSb3 crystal, from Alexandria.

Unit cell a=7.6662 b=11.0508 c=7.2450 alpha=90.00 beta=90.00 gamma=90.00
Space group Cmcm (No. 63)
One atom of each set of equivalent atoms:
K  0.0000  0.2377  0.2500 [4 per cell]
Ag  0.0000  0.3685  0.7500 [4 per cell]
Sb  0.0000  0.1130  0.7500 [4 per cell]
Sb  0.2226  0.5000  0.0000 [8 per cell]

Computed properties:
**Magnetization**: 0.0000 μB/atom


From most stable to least stable, the computed energies give *3*, *1*, *2*.


*1*
The following is a GGA-PBE calculation of a relaxed KAg3Sb3 crystal, from Alexandria.

Unit cell a=8.0711 b=8.0711 c=24.0747 alpha=90.00 beta=90.00 gamma=120.00
Space group R-3 (No. 148, hexagonal axes)
One atom of each set of equivalent atoms:
K  0.0000  0.0000  0.1664 [6 per cell]
Ag  0.0129  0.3634  0.6192 [18 per cell]
Sb  0.0105  0.3132  0.4005 [18 per cell]

Computed properties:
**Magnetization**: 0.0000 μB/atom


*2*
The following is a GGA-PBE calculation of a relaxed KAg3Sb3 crystal, from Alexandria.

Unit cell a=7.7146 b=7.7146 c=7.7146 alpha=90.00 beta=90.00 gamma=90.00
Space group Pm-3n (No. 223)
One atom of each set of equivalent atoms:
K  0.0000  0.0000  0.0000 [2 per cell]
Ag  0.0000  0.2500  0.5000 [6 per cell]
Sb  0.0000  0.5000  0.2500 [6 per cell]

Computed properties:
**Magnetization**: 0.0000 μB/atom


From most stable to least stable, the computed energies give *2*, *1*.


*1*
The following is a GGA-PBE calculation of a relaxed K2Sc2Ag crystal, from Alexandria.

Unit cell a=4.1017 b=4.1017 c=22.5522 alpha=90.00 beta=90.00 gamma=90.00
Space group I4/mmm (No. 139)
One atom of each set of equivalent atoms:
K  0.0000  0.0000  0.0923 [4 per cell]
Sc  0.0000  0.5000  0.2500 [4 per cell]
Ag  0.0000  0.0000  0.5000 [2 per cell]

Computed properties:
**Magnetization**: 0.0006 μB/atom


*2*
The following is a GGA-PBE calculation of a relaxed K2Sc2Ag crystal, from Alexandria.

Unit cell a=4.1496 b=4.1496 c=18.5877 alpha=90.00 beta=90.00 gamma=90.00
Space group I4/mmm (No. 139)
One atom of each set of equivalent atoms:
K  0.0000  0.5000  0.2500 [4 per cell]
Sc  0.0000  0.0000  0.0729 [4 per cell]
Ag  0.0000  0.0000  0.5000 [2 per cell]

Computed properties:
**Magnetization**: 0.1538 μB/atom


From most stable to least stable, the computed energies give *1*, *2*.


*1*
The following is a GGA-PBE calculation of a relaxed KSc2Ag2 crystal, from Alexandria.

Unit cell a=4.5137 b=4.5137 c=13.4265 alpha=90.00 beta=90.00 gamma=90.00
Space group I4/mmm (No. 139)
One atom of each set of equivalent atoms:
K  0.0000  0.0000  0.0000 [2 per cell]
Sc  0.0000  0.5000  0.2500 [4 per cell]
Ag  0.0000  0.0000  0.3892 [4 per cell]

Computed properties:
**Magnetization**: 0.1662 μB/atom


*2*
The following is a GGA-PBE calculation of a relaxed KSc2Ag2 crystal, from Alexandria.

Unit cell a=8.6927 b=8.6927 c=3.1985 alpha=90.00 beta=90.00 gamma=90.00
Space group P4/mbm (No. 127)
One atom of each set of equivalent atoms:
K  0.0000  0.0000  0.0000 [2 per cell]
Sc  0.1296  0.3704  0.0000 [4 per cell]
Ag  0.1607  0.6607  0.5000 [4 per cell]

Computed properties:
**Magnetization**: 0.0000 μB/atom


From most stable to least stable, the computed energies give *2*, *1*.